K3Tb2DyS6: optimized geometry, PBE.

Lattice parameters (Å, degrees): 7.0398 7.0398 7.7388 98.73 98.73 120.00
With the nearest neighbours (Å) after each atom.
Fractional positions:
K (0.1668, 0.8332, 0.5000)  6 S 3.21-3.22
K (0.8332, 0.1668, 0.5000)  6 S 3.21-3.22
K (0.5000, 0.5000, 0.5000)  6 S 3.21-3.22
Tb (0.3334, 0.6666, 0.0000)  6 S 2.78
Tb (0.6666, 0.3334, 0.0000)  6 S 2.78
Dy (0.0000, 0.0000, 0.0000)  6 S 2.77
S (0.9326, 0.6004, 0.7979)  1 Dy 2.77, 2 Tb 2.78
S (0.7352, 0.7352, 0.2021)  1 Dy 2.77, 2 Tb 2.78
S (0.0674, 0.3996, 0.2021)  1 Dy 2.77, 2 Tb 2.78
S (0.6004, 0.9326, 0.7979)  1 Dy 2.77, 2 Tb 2.78
S (0.2648, 0.2648, 0.7979)  1 Dy 2.77, 2 Tb 2.78
S (0.3996, 0.0674, 0.2021)  1 Dy 2.77, 2 Tb 2.78

The uncorrected formation energy comes out at -1.889 eV per atom. The value obtained for the total DFT energy (no corrections) is -5.382 eV/atom. The calculation puts the density of states at the Fermi level at 0.000 states/eV/atom.